# PBE NiAg2Ru, relaxed
data_NiAg2Ru
_symmetry_space_group_name_H-M 'P 4/m m m'
_symmetry_Int_Tables_number 123
_symmetry_space_group_name_Hall '-P 4 2'
_cell_length_a 3.7818
_cell_length_b 3.7818
_cell_length_c 4.3349
_cell_angle_alpha 90.00
_cell_angle_beta 90.00
_cell_angle_gamma 90.00
loop_
_atom_site_label
_atom_site_fract_x
_atom_site_fract_y
_atom_site_fract_z
Ni1 0.0000 0.0000 0.0000
Ag1 0.0000 0.5000 0.5000
Ru1 0.5000 0.5000 0.0000
# Fermi-level density of states (states/eV/cell): 5.52
# Uncorrected energy (eV/cell): -18.490